A plane-wave DFT calculation with PBE-GGA was carried out for a geometry-optimized Tb4Ga12Cu structure.

Computed properties:
DFT formation energy: -51 kJ/mol of atoms
V: 19.04 Å³/atom
space group: No. 229

```
Tb4Ga12Cu
1.0
-4.3250 4.3250 4.3250
4.3250 -4.3250 4.3250
4.3250 4.3250 -4.3250
Tb Ga Cu
4 12 1
Cartesian
2.1625 2.1625 -2.1625
2.1625 -2.1625 2.1625
-2.1625 2.1625 2.1625
2.1625 2.1625 2.1625
2.5272 0.0000 0.0000
6.1228 0.0000 0.0000
4.3250 2.1625 0.0000
4.3250 0.0000 2.1625
0.0000 2.5272 0.0000
0.0000 0.0000 2.5272
2.1625 4.3250 0.0000
2.1625 0.0000 4.3250
0.0000 6.1228 0.0000
0.0000 0.0000 6.1228
0.0000 4.3250 2.1625
0.0000 2.1625 4.3250
0.0000 0.0000 0.0000
```